[1]
Computed, not measured: a relaxed structure of HoAg6Cl12 at the PBE level of DFT.

Unit cell a=10.8431 b=10.8431 c=18.1089 alpha=90.00 beta=90.00 gamma=120.00
Space group R-3 (No. 148, hexagonal axes)
Asymmetric unit:
Ho 0.0000 0.0000 0.0000 [3 per cell]
Ag 0.0394 0.7759 0.6652 [18 per cell]
Cl 0.0277 0.8263 0.3795 [18 per cell]
Cl 0.0879 0.8593 0.9164 [18 per cell]

Calculated values
- V: 32.349 Å³/atom
- Theoretical density: 3.34 g/cm³
- Uncorrected formation energy: -1428 kJ/mol of formula units
- M_tot: 0.000 μB/f.u.

[2]
Computed, not measured: a relaxed structure of HoAgCl at the PBE level of DFT.

Unit cell a=3.5710 b=3.5710 c=14.6997 alpha=90.00 beta=90.00 gamma=120.00
Space group P-6m2 (No. 187)
Asymmetric unit:
Ho 0.0000 0.0000 0.1488 [2 per cell]
Ag 0.6667 0.3333 0.0000 [1 per cell]
Ag 0.6667 0.3333 0.5000 [1 per cell]
Cl 0.6667 0.3333 0.2738 [2 per cell]

Calculated values
- V: 27.057 Å³/atom
- Theoretical density: 6.31 g/cm³
- Uncorrected formation energy: -219 kJ/mol of formula units
- M_tot: 0.000 μB/f.u.

[3]
Computed, not measured: a relaxed structure of HoAg2Cl6 at the PBE level of DFT.

Unit cell a=15.605 b=3.922 c=9.455 alpha=90.00 beta=96.08 gamma=90.00
Space group C2/m (No. 12)
Asymmetric unit:
Ho 0.000 0.000 0.000 [2 per cell]
Ag 0.192 0.000 0.334 [4 per cell]
Cl 0.035 0.000 0.279 [4 per cell]
Cl 0.113 0.500 0.981 [4 per cell]
Cl 0.213 0.000 0.657 [4 per cell]

Calculated values
- V: 31.966 Å³/atom
- Theoretical density: 3.42 g/cm³
- Uncorrected formation energy: -1020 kJ/mol of formula units
- M_tot: 0.000 μB/f.u.